# 1
Below is Ca4Ag3Pt after structural relaxation, with properties calculated at the PBE level.

* crystal system: tetragonal
* final energy: -26.30 eV/cell
* density: 5.8 g cm⁻³
* formation energy: -0.4622 eV per atom

a = 3.6272 Å, b = 3.6272 Å, c = 14.8679 Å
α = 90.00°, β = 90.00°, γ = 90.00°
Space group P4/mmm (No. 123)
One atom of each set of equivalent atoms:
Ca: 0.0000 0.0000 0.1113 x2
Ca: 0.0000 0.0000 0.3721 x2
Ag: 0.5000 0.5000 0.2433 x2
Ag: 0.5000 0.5000 0.5000 x1
Pt: 0.5000 0.5000 0.0000 x1

***

# 2
Below is Ba7In2Hg2 after structural relaxation, with properties calculated at the PBE level.

* crystal system: orthorhombic
* final energy: -44.27 eV/cell
* density: 5.1 g cm⁻³
* formation energy: -0.2360 eV per atom

a = 9.1925 Å, b = 13.0335 Å, c = 8.6279 Å
α = 90.00°, β = 90.00°, γ = 90.00°
Space group Cmmm (No. 65)
One atom of each set of equivalent atoms:
Ba: 0.0000 0.0000 0.0000 x2
Ba: 0.0000 0.5000 0.2659 x4
Ba: 0.2500 0.2500 0.2782 x8
In: 0.1583 0.0000 0.5000 x4
Hg: 0.0000 0.2945 0.0000 x4

***

# 3
Below is Ba3CuTe2O8 after structural relaxation, with properties calculated at the PBE level.

* crystal system: trigonal
* final energy: -77.85 eV/cell
* formation energy from raw total energies: -1.574 eV per atom
* density: 5.8 g cm⁻³

a = 5.9566 Å, b = 5.9566 Å, c = 7.9909 Å
α = 90.00°, β = 90.00°, γ = 120.00°
Space group P-3m1 (No. 164)
One atom of each set of equivalent atoms:
Ba: 0.0000 0.0000 0.0000 x1
Ba: 0.3333 0.6667 0.6321 x2
Cu: 0.0000 0.0000 0.5000 x1
Te: 0.3333 0.6667 0.2006 x2
O: 0.1641 0.3282 0.3244 x6
O: 0.3333 0.6667 0.9452 x2

***

# 4
Below is Sr5Sn after structural relaxation, with properties calculated at the PBE level.

* crystal system: orthorhombic
* final energy: -27.28 eV/cell
* density: 3.5 g cm⁻³
* formation energy: -0.2043 eV per atom

a = 5.3937 Å, b = 17.0778 Å, c = 5.6941 Å
α = 90.00°, β = 90.00°, γ = 90.00°
Space group Cmmm (No. 65)
One atom of each set of equivalent atoms:
Sr: 0.0000 0.0000 0.0000 x2
Sr: 0.0000 0.1467 0.5000 x4
Sr: 0.0000 0.3408 0.0000 x4
Sn: 0.0000 0.5000 0.5000 x2